No. 1
Entry from Alexandria: Ac19Nd4Sm6 after structural relaxation (GGA-PBE).

Cell lengths 13.6092, 13.6092, 13.6092 Å; angles 90.00, 90.00, 90.00 degrees
Space group I23 (No. 197)
Symmetry-distinct sites (fractional):
Ac1 0.0000 0.0000 0.0000
Ac2 0.0000 0.0000 0.2658
Ac3 0.0615 0.2760 0.2814
Nd1 0.1773 0.1773 0.8227
Sm1 0.0000 0.3847 0.5000


No. 2
Entry from Alexandria: Ac2Nd12Sm5 after structural relaxation (GGA-PBE).

Properties
**ΔE to the lowest computed polymorph**: 6 meV/atom

Cell lengths 13.4403, 11.8472, 9.6683 Å; angles 90.00, 116.94, 90.00 degrees
Space group C2/m (No. 12)
Symmetry-distinct sites (fractional):
Ac1 0.0000 0.2354 0.0000
Nd1 0.0757 0.0000 0.7751
Nd2 0.1093 0.2186 0.4256
Nd3 0.1277 0.5000 0.9441
Nd4 0.1900 0.2555 0.8021
Sm1 0.0000 0.5000 0.5000
Sm2 0.1899 0.5000 0.3291
Sm3 0.1922 0.0000 0.2400


No. 3
Entry from Alexandria: Ac4Nd4Sm after structural relaxation (GGA-PBE).

Cell lengths 11.4612, 11.4612, 5.3818 Å; angles 90.00, 90.00, 90.00 degrees
Space group I4/mmm (No. 139)
Symmetry-distinct sites (fractional):
Ac1 0.1661 0.1661 0.0000
Nd1 0.0000 0.3385 0.5000
Sm1 0.0000 0.0000 0.5000


No. 4
Entry from Alexandria: Ac2Nd2Sm5 after structural relaxation (GGA-PBE).

Properties
**ΔE to the lowest computed polymorph**: 190 meV/atom

Cell lengths 15.3706, 9.8422, 8.8055 Å; angles 90.00, 90.00, 90.00 degrees
Space group Ima2 (No. 46)
Symmetry-distinct sites (fractional):
Ac1 0.1257 0.0357 0.0000
Nd1 0.0000 0.0000 0.6630
Nd2 0.2500 0.5116 0.8488
Sm1 0.0297 0.1716 0.3390
Sm2 0.1497 0.7076 0.1465
Sm3 0.2500 0.1675 0.6710


Which energy of formation belongs to each record? In order, 10.16, 2.04, 0.33, 2.13 eV/f.u..
Which total DFT energy (no corrections) belongs to each record? In order, -230.57, -173.97, -79.80, -156.87 eV per cell.